# 1
PaCo3P3 | Alexandria | GGA-PBE | optimized geometry; space-group type = P6_3/m
1.0
7.699 0.000 0.000
-3.850 6.668 0.000
0.000 0.000 3.935
Pa Co P
2 6 6
Cartesian
0.000 4.445 0.984
3.850 2.223 2.951
-0.504 1.484 0.984
-2.312 6.363 0.984
1.033 1.179 2.951
2.817 5.489 0.984
6.162 0.305 2.951
4.354 5.184 2.951
-0.858 2.506 2.951
-1.250 6.158 2.951
1.741 1.996 0.984
2.109 4.672 2.951
5.100 0.510 0.984
4.708 4.162 0.984

***

# 2
Pa3Co2P3 | Alexandria | GGA-PBE | optimized geometry; space-group type = Cmcm
1.0
1.962 -5.116 0.000
1.962 5.116 0.000
0.000 0.000 13.630
Pa Co P
6 4 6
Cartesian
1.962 4.373 8.310
1.962 4.373 12.135
1.962 1.411 10.223
1.962 -1.411 3.408
1.962 -4.373 1.495
1.962 -4.373 5.320
1.962 2.851 1.410
1.962 2.851 5.405
1.962 -2.851 8.225
1.962 -2.851 12.220
1.962 1.543 3.408
1.962 1.406 7.411
1.962 1.406 13.034
1.962 -1.406 0.596
1.962 -1.406 6.219
1.962 -1.543 10.223

***

# 3
Pa2Co6P3 | Alexandria | GGA-PBE | optimized geometry; space-group type = P-62m
1.0
6.663 0.000 0.000
-3.331 5.770 0.000
0.000 0.000 3.998
Pa Co P
2 6 3
Cartesian
0.000 3.847 0.000
3.331 1.923 0.000
-0.996 1.724 1.999
-2.639 4.571 0.000
0.692 1.199 0.000
1.991 0.000 1.999
2.336 4.046 1.999
5.278 0.000 0.000
-2.112 3.658 1.999
1.219 2.112 1.999
4.224 0.000 1.999

***

# 4
Pa2Co5P4 | Alexandria | GGA-PBE | optimized geometry; space-group type = Fmmm
1.0
0.000 4.562 6.560
2.588 0.000 6.560
2.588 4.562 0.000
Pa Co P
2 5 4
Cartesian
2.588 4.562 1.855
2.588 4.562 11.266
1.294 2.281 0.000
1.294 2.281 3.280
1.294 2.281 6.560
2.588 4.562 6.560
3.882 6.844 9.841
2.588 3.153 4.856
2.588 3.153 8.265
2.588 5.972 4.856
2.588 5.972 8.265

***

# 5
Pa2CoP | Alexandria | GGA-PBE | optimized geometry; polymorph energy (0 for the lowest one) = 725 meV/atom; space-group type = R-3m
1.0
1.706 0.985 8.459
-1.706 0.985 8.459
0.000 -1.970 8.459
Pa Co P
2 1 1
Cartesian
0.000 0.000 2.339
0.000 0.000 23.038
0.000 0.000 0.000
0.000 0.000 12.688

***

# 6
PaCoP | Alexandria | GGA-PBE | optimized geometry; space-group type = I4mm
1.0
-1.999 1.999 3.519
1.999 -1.999 3.519
1.999 1.999 -3.519
Pa Co P
1 1 1
Cartesian
0.000 0.000 0.000
0.000 0.000 2.215
0.000 0.000 4.376

***

# 7
PaCo2P2Pd | Alexandria | GGA-PBE | optimized geometry; space-group type = P-3m1
1.0
3.868 0.000 0.000
-1.934 3.349 0.000
0.000 0.000 6.767
Pa Co P Pd
1 2 2 1
Cartesian
0.000 0.000 0.000
0.000 2.233 4.789
1.934 1.116 1.979
0.000 2.233 1.830
1.934 1.116 4.937
0.000 0.000 3.384

***

# 8
Pa2Co4P3Pd | Alexandria | GGA-PBE | optimized geometry; space-group type = P-4m2
1.0
3.753 0.000 0.000
0.000 3.753 0.000
0.000 0.000 10.235
Pa Co P Pd
2 4 3 1
Cartesian
0.000 1.877 2.533
1.877 0.000 7.701
0.000 0.000 0.000
0.000 1.877 6.834
1.877 0.000 3.401
1.877 1.877 0.000
0.000 1.877 9.014
1.877 0.000 1.220
1.877 1.877 5.117
0.000 0.000 5.117

***

no.,DFT formation energy (meV/atom)
1,-652
2,-984
3,-724
4,-727
5,-57
6,-346
7,-749
8,-861